This record from Alexandria via LeMat-Bulk describes an optimized crystal structure of KMnBr2O. The functional is PBE+U.

Summary:
Its total energy is -0.3365 Ry/atom.

Unit cell a=5.593 b=5.593 c=3.796 alpha=90.00 beta=90.00 gamma=90.00
Atoms (fractional coordinates):
1 K 0.000 0.000 0.000
2 Mn 0.500 0.500 0.500
3 Br 0.000 0.500 0.500
4 Br 0.500 0.000 0.500
5 O 0.500 0.500 0.000